A relaxed ThMg2Tl crystal, computed with PBE.

a = 3.3544 Å, b = 3.3544 Å, c = 34.4349 Å
α = 90.00°, β = 90.00°, γ = 120.00°
Space group R-3m (No. 166, hexagonal axes)
Symmetry-distinct sites (fractional):
Th  0.0000  0.0000  0.0000 (multiplicity 3)
Mg  0.0000  0.0000  0.0956 (multiplicity 6)
Tl  0.0000  0.0000  0.5000 (multiplicity 3)

Results
Final energy   -3.02 eV/atom
Formation energy   85 kJ/mol of formula units